No. 1
# SnP2WCl

An optimized crystal structure of SnP2WCl (PBE, Alexandria).

Structure (POSCAR):
```
SnP2WCl
1.0
5.035 0.000 0.000
0.000 5.035 0.000
0.000 0.000 4.863
P Sn W Cl
2 1 1 1
Direct
0.000 0.500 0.000
0.500 0.000 0.000
0.000 0.000 0.000
0.500 0.500 0.500
0.000 0.000 0.500
```

Properties
**Distance to the lowest polymorph of the same formula**: 1248 meV/atom
**SG**: P4/mmm, No. 123
**Uncorrected formation energy**: 1541 meV per atom
**Calculated total energy**: -21.9 eV/cell


No. 2
# Sn2PWCl

An optimized crystal structure of Sn2PWCl (PBE, Alexandria).

Structure (POSCAR):
```
Sn2PWCl
1.0
5.477 0.000 0.000
0.000 4.520 0.000
0.000 0.000 5.477
P Sn W Cl
1 2 1 1
Direct
0.000 0.000 0.000
0.000 0.000 0.500
0.500 0.000 0.000
0.000 0.500 0.000
0.500 0.500 0.500
```

Properties
**SG**: P4/mmm, No. 123
**Uncorrected formation energy**: 806 meV per atom
**Calculated total energy**: -24.2 eV/cell